--- w ---
Compound: PmAl2Pt4
Source: Alexandria via LeMat-Bulk
Functional: PBE
Structure: optimized geometry

a b c (Å): 3.9640 7.8779 7.8779
angles (deg): 90.00 90.00 90.00
Last column: nearest neighbours and their distance in Å.
Fractional positions:
Pt 0.0000 0.3275 0.0773  3 Al 2.52-2.55, 1 Pt 2.79
Pt 0.0000 0.6725 0.9227  3 Al 2.52-2.55, 1 Pt 2.79
Pt 0.0000 0.0773 0.3275  3 Al 2.52-2.55, 1 Pt 2.79
Pt 0.5000 0.4227 0.8275  3 Al 2.52-2.55, 1 Pt 2.79
Pt 0.5000 0.1725 0.5773  3 Al 2.52-2.55, 1 Pt 2.79
Pt 0.5000 0.5773 0.1725  3 Al 2.52-2.55, 1 Pt 2.79
Pt 0.5000 0.8275 0.4227  3 Al 2.52-2.55, 1 Pt 2.79
Pt 0.0000 0.9227 0.6725  3 Al 2.52-2.55, 1 Pt 2.79
Al 0.5000 0.7260 0.7260  6 Pt 2.52-2.55
Al 0.5000 0.2740 0.2740  6 Pt 2.52-2.55
Al 0.0000 0.2260 0.7740  6 Pt 2.52-2.55
Al 0.0000 0.7740 0.2260  6 Pt 2.52-2.55
Pm 0.5000 0.0000 0.0000  6 Al 3.05-3.20, 8 Pt 3.31
Pm 0.0000 0.5000 0.5000  6 Al 3.05-3.20, 8 Pt 3.31

- Total magnetization: 0.00 μB/f.u.
- D(E_F): 6.455 states/eV per cell

***

--- x ---
Compound: PmAl2Pt4
Source: Alexandria via LeMat-Bulk
Functional: PBE
Structure: optimized geometry

a b c (Å): 4.2246 7.0982 16.6760
angles (deg): 90.00 90.00 90.00
Last column: nearest neighbours and their distance in Å.
Fractional positions:
Pt 0.2500 0.6138 0.6725  3 Al 2.62-2.64, 4 Pt 2.91
Pt 0.7500 0.9490 0.0556  4 Al 2.51-2.58
Pt 0.7500 0.1138 0.8275  3 Al 2.62-2.64, 4 Pt 2.91
Pt 0.2500 0.4490 0.4444  4 Al 2.51-2.58
Pt 0.7500 0.6074 0.9587  3 Al 2.57-2.60
Pt 0.2500 0.3926 0.0413  3 Al 2.57-2.60
Pt 0.2500 0.3016 0.2126  3 Al 2.57-2.62
Pt 0.2500 0.0510 0.9444  4 Al 2.51-2.58
Pt 0.2500 0.8862 0.1725  3 Al 2.62-2.64, 4 Pt 2.91
Pt 0.2500 0.1984 0.7126  3 Al 2.57-2.62
Pt 0.7500 0.8926 0.4587  3 Al 2.57-2.60
Pt 0.7500 0.6984 0.7874  3 Al 2.57-2.62
Pt 0.7500 0.8016 0.2874  3 Al 2.57-2.62
Pt 0.7500 0.3862 0.3275  3 Al 2.62-2.64, 4 Pt 2.91
Pt 0.2500 0.1074 0.5413  3 Al 2.57-2.60
Pt 0.7500 0.5510 0.5556  4 Al 2.51-2.58
Al 0.7500 0.4009 0.6943  6 Pt 2.55-2.62
Al 0.2500 0.5991 0.3057  6 Pt 2.55-2.62
Al 0.7500 0.2523 0.4752  7 Pt 2.51-2.64
Al 0.2500 0.7523 0.0248  7 Pt 2.51-2.64
Al 0.7500 0.2477 0.9752  7 Pt 2.51-2.64
Al 0.2500 0.9009 0.8057  6 Pt 2.55-2.62
Al 0.7500 0.0991 0.1943  6 Pt 2.55-2.62
Al 0.2500 0.7477 0.5248  7 Pt 2.51-2.64
Pm 0.2500 0.4451 0.8534  10 Pt 2.93-3.24, 2 Al 3.25
Pm 0.2500 0.0549 0.3534  10 Pt 2.93-3.24, 2 Al 3.25
Pm 0.7500 0.9451 0.6466  10 Pt 2.93-3.24, 2 Al 3.25
Pm 0.7500 0.5549 0.1466  10 Pt 2.93-3.24, 2 Al 3.25

- Total magnetization: 0.00 μB/f.u.
- D(E_F): 11.930 states/eV per cell

***

The structure with the most favorable energy is w; the runner-up is 14 meV/atom above it.